No. 1
## V12Si6Rh (PBE-GGA)

Data for a relaxed V12Si6Rh crystal.

Results
Its uncorrected formation energy is -0.353 eV per atom. For the calculated total energy, the calculation gives -156.02 eV for the cell shown. The value obtained for the magnetic moment is 0.00 μB per formula unit.

Unit cell a=6.987 b=6.987 c=6.987 alpha=110.67 beta=110.67 gamma=110.67
Positions (direct):
V 0.019 0.167 0.290
V 0.167 0.290 0.019
V 0.239 0.688 0.612
V 0.290 0.019 0.167
V 0.312 0.388 0.761
V 0.388 0.761 0.312
V 0.612 0.239 0.688
V 0.688 0.612 0.239
V 0.710 0.981 0.833
V 0.761 0.312 0.388
V 0.833 0.710 0.981
V 0.981 0.833 0.710
Si 0.070 0.558 0.852
Si 0.148 0.930 0.442
Si 0.442 0.148 0.930
Si 0.558 0.852 0.070
Si 0.852 0.070 0.558
Si 0.930 0.442 0.148
Rh 0.500 0.500 0.500

=====

No. 2
## VSi2Rh2 (PBE-GGA)

Data for a relaxed VSi2Rh2 crystal.

Results
Its uncorrected formation energy is -0.572 eV per atom. For the calculated total energy, the calculation gives -75.06 eV for the cell shown. The value obtained for the magnetic moment is 0.00 μB per formula unit.

Unit cell a=7.022 b=7.022 c=2.734 alpha=90.00 beta=90.00 gamma=90.00
Positions (direct):
V 0.000 0.000 0.000
V 0.500 0.500 0.000
Si 0.150 0.350 0.000
Si 0.350 0.850 0.000
Si 0.650 0.150 0.000
Si 0.850 0.650 0.000
Rh 0.149 0.649 0.500
Rh 0.351 0.149 0.500
Rh 0.649 0.851 0.500
Rh 0.851 0.351 0.500

=====

No. 3
## V2SiRh3 (PBE-GGA)

Data for a relaxed V2SiRh3 crystal.

Results
Its uncorrected formation energy is -0.518 eV per atom. For the calculated total energy, the calculation gives -97.64 eV for the cell shown. The value obtained for the magnetic moment is 0.43 μB per formula unit.

Unit cell a=6.249 b=6.249 c=6.977 alpha=90.00 beta=90.00 gamma=143.42
Positions (direct):
V 0.000 0.000 0.000
V 0.000 0.000 0.500
V 0.332 0.668 0.000
V 0.668 0.332 0.000
Si 0.341 0.659 0.500
Si 0.659 0.341 0.500
Rh 0.169 0.831 0.275
Rh 0.169 0.831 0.725
Rh 0.500 0.500 0.257
Rh 0.500 0.500 0.743
Rh 0.831 0.169 0.275
Rh 0.831 0.169 0.725

=====

No. 4
## VSi2Rh4 (PBE-GGA)

Data for a relaxed VSi2Rh4 crystal.

Results
Its uncorrected formation energy is 0.408 eV per atom. For the calculated total energy, the calculation gives -46.52 eV for the cell shown. The value obtained for the magnetic moment is 0.00 μB per formula unit.

Unit cell a=6.656 b=6.656 c=6.656 alpha=140.01 beta=140.01 gamma=57.84
Positions (direct):
V 0.000 0.000 0.000
Si 0.395 0.395 0.000
Si 0.605 0.605 0.000
Rh 0.000 0.500 0.500
Rh 0.197 0.197 0.000
Rh 0.500 0.000 0.500
Rh 0.803 0.803 0.000